[1]
# NaHoSO PBE relaxed
data_NaHoSO
_cell_length_a 6.779
_cell_length_b 7.223
_cell_length_c 6.256
_cell_angle_alpha 90.00
_cell_angle_beta 103.71
_cell_angle_gamma 90.00
_symmetry_space_group_name_H-M 'P 1'
_symmetry_Int_Tables_number 1
_symmetry_space_group_name_Hall 'P 1'
loop_
_atom_site_label
_atom_site_type_symbol
_atom_site_fract_x
_atom_site_fract_y
_atom_site_fract_z
Na1 Na 0.086 0.246 0.492
Na2 Na 0.086 0.254 0.992
Na3 Na 0.914 0.746 0.008
Na4 Na 0.914 0.754 0.508
Ho1 Ho 0.461 0.624 0.766
Ho2 Ho 0.461 0.876 0.266
Ho3 Ho 0.539 0.124 0.734
Ho4 Ho 0.539 0.376 0.234
S1 S 0.219 0.586 0.337
S2 S 0.219 0.914 0.837
S3 S 0.781 0.086 0.163
S4 S 0.781 0.414 0.663
O1 O 0.384 0.153 0.383
O2 O 0.384 0.347 0.883
O3 O 0.616 0.653 0.117
O4 O 0.616 0.847 0.617
# Magnetic moment: 0.00 Bohr magnetons per cell
# Total DFT energy (no corrections): -97.2 eV per cell
# Density: 5.27 Mg/m³

---

[2]
# KSiAgS3 PBE relaxed
data_KSiAgS3
_cell_length_a 13.821
_cell_length_b 3.630
_cell_length_c 10.201
_cell_angle_alpha 90.00
_cell_angle_beta 90.00
_cell_angle_gamma 90.00
_symmetry_space_group_name_H-M 'P 1'
_symmetry_Int_Tables_number 1
_symmetry_space_group_name_Hall 'P 1'
loop_
_atom_site_label
_atom_site_type_symbol
_atom_site_fract_x
_atom_site_fract_y
_atom_site_fract_z
K1 K 0.136 0.250 0.002
K2 K 0.364 0.750 0.502
K3 K 0.636 0.250 0.498
K4 K 0.864 0.750 0.998
Si1 Si 0.038 0.750 0.637
Si2 Si 0.462 0.250 0.137
Si3 Si 0.538 0.750 0.863
Si4 Si 0.962 0.250 0.363
Ag1 Ag 0.203 0.750 0.257
Ag2 Ag 0.297 0.250 0.757
Ag3 Ag 0.703 0.750 0.243
Ag4 Ag 0.797 0.250 0.743
S1 S 0.029 0.750 0.234
S2 S 0.095 0.250 0.499
S3 S 0.171 0.750 0.759
S4 S 0.329 0.250 0.259
S5 S 0.405 0.750 0.999
S6 S 0.471 0.250 0.734
S7 S 0.529 0.750 0.266
S8 S 0.595 0.250 0.001
S9 S 0.671 0.750 0.741
S10 S 0.829 0.250 0.241
S11 S 0.905 0.750 0.501
S12 S 0.971 0.250 0.766
# Total DFT energy (no corrections): -99.6 eV per cell
# Density: 3.52 Mg/m³

---

Number 1: energy above the most stable polymorph in this dataset 0 meV/atom. Number 2: energy above the most stable polymorph in this dataset 0 meV/atom.